Entry 1:
This record from Alexandria describes Na4Ta3WN8 after structural relaxation. The functional is PBE.

Results
* DOS(E_F): 3.61 states/eV per cell
* uncorrected formation energy: -0.759 eV/atom
* calculated total energy: -8.283 eV per atom
* calculated volume: 191.4 Å³/cell

abc: 6.7522 6.7522 6.7522
angles: 54.81 54.81 54.81
Last column: nearest neighbours and their distance in Å.
Fractional positions:
Na  0.0000  0.0000  0.0000  6 N 2.51
Na  0.0000  0.5000  0.5000  6 N 2.49-2.51
Na  0.5000  0.0000  0.5000  6 N 2.49-2.51
Na  0.5000  0.5000  0.0000  6 N 2.49-2.51
Ta  0.0000  0.0000  0.5000  6 N 2.11-2.13
Ta  0.0000  0.5000  0.0000  6 N 2.11-2.13
Ta  0.5000  0.0000  0.0000  6 N 2.11-2.13
W  0.5000  0.5000  0.5000  6 N 2.10
N  0.2314  0.2314  0.2314  3 Ta 2.11
N  0.2365  0.7300  0.7300  1 W 2.10, 2 Ta 2.13
N  0.2700  0.2700  0.7635  1 W 2.10, 2 Ta 2.13
N  0.2700  0.7635  0.2700  1 W 2.10, 2 Ta 2.13
N  0.7300  0.2365  0.7300  1 W 2.10, 2 Ta 2.13
N  0.7300  0.7300  0.2365  1 W 2.10, 2 Ta 2.13
N  0.7635  0.2700  0.2700  1 W 2.10, 2 Ta 2.13
N  0.7686  0.7686  0.7686  3 Ta 2.11


Entry 2:
This record from Alexandria describes PuUFe after structural relaxation. The functional is PBE.

Results
* DOS(E_F): 5.02 states/eV per cell
* excess energy over the best structure of this formula in the dataset: 0.92 kcal/mol of atoms
* formation energy: 107 meV per atom
* calculated total energy: -11.254 eV per atom
* calculated volume: 51.3 Å³/cell

abc: 4.4795 4.4795 2.9538
angles: 90.00 90.00 120.00
Last column: nearest neighbours and their distance in Å.
Fractional positions:
Pu  0.0000  0.0000  0.0000  3 U 2.71, 3 Fe 2.86, 2 Pu 2.95
U  0.3333  0.6667  0.7205  3 Pu 2.71, 3 Fe 2.74, 2 U 2.95
Fe  0.6667  0.3333  0.4126  3 U 2.74, 3 Pu 2.86, 2 Fe 2.95


Entry 3:
This record from Alexandria describes Tl2TcAu after structural relaxation. The functional is PBE.

Results
* DOS(E_F): 3.19 states/eV per cell
* excess energy over the best structure of this formula in the dataset: 6.17 kcal/mol of atoms
* formation energy: 739 meV per atom
* calculated total energy: -3.855 eV per atom
* calculated volume: 87.2 Å³/cell

abc: 4.9778 4.9778 4.9778
angles: 60.00 60.00 60.00
Last column: nearest neighbours and their distance in Å.
Fractional positions:
Tl  0.0000  0.0000  0.0000  4 Tl 3.05, 4 Au 3.05
Tl  0.2500  0.2500  0.2500  4 Tl 3.05, 4 Tc 3.05
Tc  0.5000  0.5000  0.5000  4 Tl 3.05, 4 Au 3.05
Au  0.7500  0.7500  0.7500  4 Tl 3.05, 4 Tc 3.05


Question: calculated total energy of number 2 (PuUFe)?
Answer: -11.254 eV per atom